# PBE CaSmCu2, relaxed
# Final energy (eV/atom): -3.887
# ΔE_f (eV/atom): -0.16
# Total magnetic moment (μB/atom): 0.0000
data_CaSmCu2
_cell_length_a 4.404
_cell_length_b 3.946
_cell_length_c 10.733
_cell_angle_alpha 90.00
_cell_angle_beta 90.00
_cell_angle_gamma 90.00
_space_group_name_H-M_alt 'A m m 2'
_space_group_IT_number 38
_space_group_name_Hall 'A 2 -2'
loop_
_atom_site_label
_atom_site_type_symbol
_atom_site_fract_x
_atom_site_fract_y
_atom_site_fract_z
Ca1 Ca 0.000 0.000 0.000
Sm1 Sm 0.500 0.000 0.720
Cu1 Cu 0.000 0.000 0.289
Cu2 Cu 0.500 0.000 0.423